VASP calculation (PBE-GGA) on a relaxed Y3AgHg2 crystal.

Computed properties:
SG: P-3m1 (164)
formation energy from the elements: -455 meV per atom

Cell: 5.231 5.231 12.822 Å, 90.00 90.00 120.00°
Fractional positions:
Y  0.000  0.000  0.247
Y  0.000  0.000  0.753
Y  0.333  0.667  0.415
Y  0.333  0.667  0.917
Y  0.667  0.333  0.083
Y  0.667  0.333  0.585
Ag  0.333  0.667  0.166
Ag  0.667  0.333  0.834
Hg  0.000  0.000  0.000
Hg  0.000  0.000  0.500
Hg  0.333  0.667  0.668
Hg  0.667  0.333  0.332

=====

VASP calculation (PBE-GGA) on a relaxed K2Y2PuS6 crystal.

Computed properties:
uncorrected formation energy: -1.753 eV per atom
SG: C2/m (12)

Cell: 6.945 6.945 7.885 Å, 98.58 98.58 119.88°
Fractional positions:
K  0.169  0.831  0.000
K  0.831  0.169  0.000
Y  0.334  0.666  0.500
Y  0.666  0.334  0.500
Pu  0.000  0.000  0.500
S  0.064  0.393  0.695
S  0.258  0.258  0.305
S  0.393  0.064  0.695
S  0.607  0.936  0.305
S  0.742  0.742  0.695
S  0.936  0.607  0.305